Entry 1:
## CePrTm4 (PBE-GGA)

Data for a geometry-optimized CePrTm4 structure.

As for the energy of formation: 0.05 eV per atom.

The space group is P2/m (No. 10) and the conventional cell measures 6.138, 3.527 and 8.612 Å, with angles of 90.00, 90.06 and 90.00 degrees. The distinct sites, in fractional coordinates, are Ce at (0.000, 0.000, 0.000), Pr at (0.500, 0.500, 0.000), Tm at (0.163, 0.500, 0.666) and Tm at (0.330, 0.000, 0.338).

=====

Entry 2:
## CePr6Tm2 (PBE-GGA)

Data for a geometry-optimized CePr6Tm2 structure.

As for the energy of formation: 0.05 eV per atom.

The space group is Fmmm (No. 69) and the conventional cell measures 5.172, 15.410 and 15.479 Å, with angles of 90.00, 90.00 and 90.00 degrees. The distinct sites, in fractional coordinates, are Ce at (0.000, 0.000, 0.000), Pr at (0.000, 0.000, 0.338), Pr at (0.000, 0.166, 0.163) and Tm at (0.000, 0.166, 0.500).